Entry 1:
A plane-wave DFT calculation with SCAN was carried out for a PBEsol-optimized structure of TaCoAg2.

Cell and atoms, written as POSCAR:
```
TaCoAg2
1.0
3.643 0.000 0.000
0.000 3.643 0.000
0.000 0.000 4.569
Ta Co Ag
1 1 2
Cartesian
0.000 0.000 0.000
1.822 1.822 0.000
0.000 1.822 2.284
1.822 0.000 2.284
```

Results
Size of the total moment, μB per cell: 1.23
E above lowest polymorph, eV/atom: 0.1292
DFT formation energy, kJ/mol of formula units: 215
Volume, Å³/atom: 15.2
Energy, eV/cell: -144.4

---

Entry 2:
A plane-wave DFT calculation with SCAN was carried out for a PBEsol-optimized structure of Sc4BeCl.

Cell and atoms, written as POSCAR:
```
Sc4BeCl
1.0
0.000 4.044 4.044
4.044 0.000 4.044
4.044 4.044 0.000
Sc Be Cl
4 1 1
Cartesian
0.992 0.992 0.992
3.052 3.052 0.992
3.052 0.992 3.052
0.992 3.052 3.052
6.066 6.066 6.066
4.044 4.044 4.044
```

Results
ΔE_f (raw), kJ per mole of atoms: 58.29
Size of the total moment, μB per cell: 0.00
Volume, Å³/atom: 22.0
Energy, eV/cell: -65.7

---

Entry 3:
A plane-wave DFT calculation with SCAN was carried out for a PBEsol-optimized structure of CdSi3Au.

Cell and atoms, written as POSCAR:
```
CdSi3Au
1.0
4.874 0.000 0.000
0.000 4.874 0.000
0.000 0.000 4.874
Cd Si Au
1 3 1
Cartesian
0.000 0.000 0.000
0.000 0.000 2.437
0.000 2.437 0.000
2.437 0.000 0.000
2.437 2.437 2.437
```

Results
ΔE_f (raw), kJ per mole of atoms: 147.26
Size of the total moment, μB per cell: 0.00
Volume, Å³/atom: 23.2
Energy, eV/cell: -122.0

---

Entry 4:
A plane-wave DFT calculation with SCAN was carried out for a PBEsol-optimized structure of LiTe4Pt.

Cell and atoms, written as POSCAR:
```
LiTe4Pt
1.0
0.000 4.324 4.324
4.324 0.000 4.324
4.324 4.324 0.000
Li Te Pt
1 4 1
Cartesian
0.000 0.000 0.000
3.254 3.254 3.254
5.394 5.394 3.254
5.394 3.254 5.394
3.254 5.394 5.394
6.486 6.486 6.486
```

Results
ΔE_f (raw), kJ per mole of atoms: 55.02
Size of the total moment, μB per cell: 0.00
Volume, Å³/atom: 26.9
Energy, eV/cell: -218.2

---

Entry 5:
A plane-wave DFT calculation with SCAN was carried out for a PBEsol-optimized structure of TbBi3.

Cell and atoms, written as POSCAR:
```
TbBi3
1.0
4.603 0.000 0.000
0.000 4.603 0.000
0.000 0.000 10.927
Tb Bi
2 6
Cartesian
0.000 0.000 0.000
2.301 2.301 5.463
0.000 0.000 5.463
0.000 2.301 2.732
0.000 2.301 8.195
2.301 0.000 2.732
2.301 0.000 8.195
2.301 2.301 0.000
```

Results
Size of the total moment, μB per cell: 0.00
DFT formation energy, kJ/mol of formula units: -150
Volume, Å³/atom: 28.9
Energy, eV/cell: -568.1

---

Entry 6:
A plane-wave DFT calculation with SCAN was carried out for a PBEsol-optimized structure of ZnMo2As.

Cell and atoms, written as POSCAR:
```
ZnMo2As
1.0
3.216 0.000 0.000
0.000 4.162 0.000
0.000 0.000 4.457
Zn Mo As
1 2 1
Cartesian
0.000 0.000 0.000
0.000 2.081 2.228
1.608 2.081 0.000
1.608 0.000 2.228
```

Results
Size of the total moment, μB per cell: 0.00
E above lowest polymorph, eV/atom: 0.0644
DFT formation energy, kJ/mol of formula units: 97
Volume, Å³/atom: 14.9
Energy, eV/cell: -102.5

---

Entry 7:
A plane-wave DFT calculation with SCAN was carried out for a PBEsol-optimized structure of Ge2AsPb2.

Cell and atoms, written as POSCAR:
```
Ge2AsPb2
1.0
3.720 0.000 0.000
0.000 3.720 0.000
0.000 0.000 17.374
Ge As Pb
4 2 4
Cartesian
0.000 1.860 4.344
0.000 1.860 13.031
1.860 0.000 4.344
1.860 0.000 13.031
0.000 0.000 0.000
1.860 1.860 8.687
0.000 0.000 6.989
0.000 0.000 10.385
1.860 1.860 1.698
1.860 1.860 15.676
```

Results
Size of the total moment, μB per cell: 0.00
DFT formation energy, kJ/mol of formula units: 112
Volume, Å³/atom: 24.0
Energy, eV/cell: -417.5

---

Entry 8:
A plane-wave DFT calculation with SCAN was carried out for a PBEsol-optimized structure of TlTeN2.

Cell and atoms, written as POSCAR:
```
TlTeN2
1.0
3.500 0.000 0.000
-1.750 3.031 0.000
0.000 0.000 19.391
Tl Te N
3 3 6
Cartesian
0.000 0.000 0.000
0.000 2.021 12.927
1.750 1.010 6.464
0.000 0.000 9.695
0.000 2.021 3.232
1.750 1.010 16.159
0.000 0.000 7.645
0.000 0.000 11.746
0.000 2.021 1.182
0.000 2.021 5.282
1.750 1.010 14.109
1.750 1.010 18.209
```

Results
ΔE_f (raw), kJ per mole of atoms: 107.82
Size of the total moment, μB per cell: 0.00
Volume, Å³/atom: 17.1
Energy, eV/cell: -371.2

---

Entry 9:
A plane-wave DFT calculation with SCAN was carried out for a PBEsol-optimized structure of Mg2Au.

Cell and atoms, written as POSCAR:
```
Mg2Au
1.0
3.220 0.000 0.000
0.000 3.220 0.000
0.000 0.000 23.783
Mg Au
8 4
Cartesian
0.000 0.805 7.302
0.000 0.805 10.535
0.000 2.415 13.248
0.000 2.415 16.481
1.610 0.805 1.356
1.610 0.805 4.590
1.610 2.415 19.194
1.610 2.415 22.427
0.000 0.805 20.810
0.000 2.415 2.973
1.610 0.805 14.864
1.610 2.415 8.919
```

Results
Size of the total moment, μB per cell: 0.00
DFT formation energy, kJ/mol of formula units: -134
Volume, Å³/atom: 20.5
Energy, eV/cell: -322.0

---

Entry 10:
A plane-wave DFT calculation with SCAN was carried out for a PBEsol-optimized structure of Pd3WBr.

Cell and atoms, written as POSCAR:
```
Pd3WBr
1.0
4.792 0.000 0.000
0.000 4.792 0.000
0.000 0.000 4.792
Pd W Br
3 1 1
Cartesian
0.000 0.000 2.396
0.000 2.396 0.000
2.396 0.000 0.000
0.000 0.000 0.000
2.396 2.396 2.396
```

Results
ΔE_f (raw), kJ per mole of atoms: 112.18
Size of the total moment, μB per cell: 0.00
E above lowest polymorph, eV/atom: 0.0000
Volume, Å³/atom: 22.0
Energy, eV/cell: -181.7

---

Entry 11:
A plane-wave DFT calculation with SCAN was carried out for a PBEsol-optimized structure of Ba2ReIr.

Cell and atoms, written as POSCAR:
```
Ba2ReIr
1.0
3.553 0.000 0.000
0.000 3.726 0.000
0.000 0.000 17.448
Ba Re Ir
4 2 2
Cartesian
0.000 0.000 2.630
0.000 0.000 14.818
1.776 1.863 6.094
1.776 1.863 11.354
0.000 1.863 0.000
1.776 0.000 8.724
0.000 1.863 8.724
1.776 0.000 0.000
```

Results
Size of the total moment, μB per cell: 2.57
E above lowest polymorph, eV/atom: 0.0515
DFT formation energy, kJ/mol of formula units: 197
Volume, Å³/atom: 28.9
Energy, eV/cell: -438.5

---

Entry 12:
A plane-wave DFT calculation with SCAN was carried out for a PBEsol-optimized structure of ZrTaIr.

Cell and atoms, written as POSCAR:
```
ZrTaIr
1.0
3.083 0.000 0.000
0.000 3.083 0.000
0.000 0.000 11.290
Zr Ta Ir
2 2 2
Cartesian
0.000 0.000 0.000
1.542 1.542 5.645
0.000 0.000 7.779
1.542 1.542 2.134
0.000 0.000 3.669
1.542 1.542 9.314
```

Results
Size of the total moment, μB per cell: 0.00
DFT formation energy, kJ/mol of formula units: -167
Volume, Å³/atom: 17.9
Energy, eV/cell: -340.2